Entry 1:
MgCd2Sb2: relaxed, PBE-GGA.

Cell and atoms, written as POSCAR:
```
MgCd2Sb2
1.0
-3.038 -3.008 0.074
2.839 -2.831 1.487
-1.834 -0.996 7.755
Sb Mg Cd
2 1 2
Cartesian
-0.464 -2.515 2.247
-1.569 -4.320 7.069
0.000 0.000 0.000
-2.486 -3.462 4.305
0.453 -3.373 5.011
```

Results
V: 136.0 Å³/cell
Energy above the lowest structure with this stoichiometry: 21 meV per atom
SG: I4/mmm, No. 139
Total moment: 0.00 μB/cell
Final energy: -11.364 eV/cell
Raw formation energy: 0.061 eV/atom


Entry 2:
Al2ZnPt: relaxed, PBE-GGA.

Cell and atoms, written as POSCAR:
```
Al2ZnPt
1.0
-3.051 -1.898 2.800
-1.980 -4.016 0.838
2.936 -1.591 3.320
Zn Al Pt
1 2 1
Cartesian
-0.524 -1.876 1.739
2.874 -1.621 3.319
-0.985 -3.722 3.480
-1.571 -5.629 5.218
```

Results
V: 61.3 Å³/cell
SG: C2/m, No. 12
Total moment: 0.00 μB/cell
Final energy: -16.575 eV/cell
Formation enthalpy at 0 K: -444 meV per atom


Look up the total moment of the first one. 0.00 μB/cell